a:
Material: AlSN2Cl
Method: DFT, PBE
State: optimized geometry

Computed properties:
V (A^3/atom): 16.440

a b c (Å): 3.6276 3.6276 6.2462
angles (deg): 90.00 90.00 90.00
Closest atoms and distances in Å follow each position.
Space group P4/mmm (No. 123)
Asymmetric unit:
Al  0.0000  0.0000  0.0000 x1  4 N 1.81
S  0.0000  0.0000  0.5000 x1  4 Cl 2.57
N  0.0000  0.5000  0.0000 x2  2 Al 1.81
Cl  0.5000  0.5000  0.5000 x1  4 S 2.57

b:
Material: AlSN2Cl
Method: DFT, PBE
State: optimized geometry

Computed properties:
V (A^3/atom): 16.779

a b c (Å): 3.5690 3.5690 6.5864
angles (deg): 90.00 90.00 90.00
Closest atoms and distances in Å follow each position.
Space group P4/mmm (No. 123)
Asymmetric unit:
Al  0.0000  0.0000  0.0000 x1  4 S 2.52
S  0.5000  0.5000  0.0000 x1  4 Al 2.52
N  0.0000  0.5000  0.5000 x2  2 Cl 1.78
Cl  0.5000  0.5000  0.5000 x1  4 N 1.78

Which one sits at the bottom of the stability order? b does.

a:
Material: AlSe2NCl
Method: DFT, PBE
State: optimized geometry

Computed properties:
V (A^3/atom): 19.184

a b c (Å): 5.2120 5.2120 3.5309
angles (deg): 90.00 90.00 90.00
Closest atoms and distances in Å follow each position.
Space group P4/mmm (No. 123)
Asymmetric unit:
Al  0.0000  0.0000  0.0000 x1  2 N 1.77
Se  0.0000  0.5000  0.0000 x2  2 Al 2.61
N  0.0000  0.0000  0.5000 x1  2 Al 1.77
Cl  0.5000  0.5000  0.5000 x1  8 Se 3.15

b:
Material: AlSe2NCl
Method: DFT, PBE
State: optimized geometry

Computed properties:
V (A^3/atom): 20.039

a b c (Å): 5.4960 5.4960 3.3170
angles (deg): 90.00 90.00 90.00
Closest atoms and distances in Å follow each position.
Space group P4/mmm (No. 123)
Asymmetric unit:
Al  0.0000  0.0000  0.0000 x1  8 Se 3.21, 2 Al 3.32
Se  0.0000  0.5000  0.5000 x2  2 Cl 2.75
N  0.5000  0.5000  0.0000 x1  2 Cl 1.66
Cl  0.5000  0.5000  0.5000 x1  2 N 1.66

Which one sits at the bottom of the stability order? b does.

a:
Material: AlSeN2Cl
Method: DFT, PBE
State: optimized geometry

Computed properties:
V (A^3/atom): 15.363

a b c (Å): 3.9517 3.9517 4.9191
angles (deg): 90.00 90.00 90.00
Closest atoms and distances in Å follow each position.
Space group P4/mmm (No. 123)
Asymmetric unit:
Al  0.0000  0.0000  0.0000 x1  4 Se 2.79
Se  0.5000  0.5000  0.0000 x1  2 Cl 2.46
N  0.0000  0.5000  0.5000 x2  2 Cl 1.98
Cl  0.5000  0.5000  0.5000 x1  4 N 1.98

b:
Material: AlSeN2Cl
Method: DFT, PBE
State: optimized geometry

Computed properties:
V (A^3/atom): 16.574

a b c (Å): 3.7237 3.7237 5.9768
angles (deg): 90.00 90.00 90.00
Closest atoms and distances in Å follow each position.
Space group P4/mmm (No. 123)
Asymmetric unit:
Al  0.0000  0.0000  0.0000 x1  4 N 1.86
Se  0.0000  0.0000  0.5000 x1  4 Cl 2.63
N  0.0000  0.5000  0.0000 x2  2 Al 1.86
Cl  0.5000  0.5000  0.5000 x1  4 Se 2.63

Which one sits at the bottom of the stability order? a does.

a:
Material: AlTeN2Cl
Method: DFT, PBE
State: optimized geometry

Computed properties:
V (A^3/atom): 17.880

a b c (Å): 4.1077 4.1077 5.2985
angles (deg): 90.00 90.00 90.00
Closest atoms and distances in Å follow each position.
Space group P4/mmm (No. 123)
Asymmetric unit:
Al  0.0000  0.0000  0.0000 x1  4 Te 2.90
Te  0.5000  0.5000  0.0000 x1  2 Cl 2.65, 4 Al 2.90
N  0.0000  0.5000  0.5000 x2  2 Cl 2.05
Cl  0.5000  0.5000  0.5000 x1  4 N 2.05

b:
Material: AlTeN2Cl
Method: DFT, PBE
State: optimized geometry

Computed properties:
V (A^3/atom): 17.855

a b c (Å): 3.8202 3.8202 6.1171
angles (deg): 90.00 90.00 90.00
Closest atoms and distances in Å follow each position.
Space group P4/mmm (No. 123)
Asymmetric unit:
Al  0.0000  0.0000  0.0000 x1  4 N 1.91
Te  0.0000  0.0000  0.5000 x1  4 Cl 2.70
N  0.0000  0.5000  0.0000 x2  2 Al 1.91
Cl  0.5000  0.5000  0.5000 x1  4 Te 2.70

Which one sits at the bottom of the stability order? a does.

a:
Material: NaAlCl4
Method: DFT, PBE
State: optimized geometry

Computed properties:
V (A^3/atom): 30.884

a b c (Å): 6.3208 10.6326 11.0288
angles (deg): 90.00 90.00 90.00
Closest atoms and distances in Å follow each position.
Space group P2_12_12_1 (No. 19)
Asymmetric unit:
Na  0.1341  0.0254  0.3637 x4  5 Cl 2.78-3.01
Al  0.0978  0.2353  0.7131 x4  4 Cl 2.16-2.18
Cl  0.2021  0.4053  0.6242 x4  1 Al 2.16
Cl  0.2139  0.0678  0.6210 x4  1 Al 2.18
Cl  0.2203  0.2221  0.8950 x4  1 Al 2.16
Cl  0.2436  0.7360  0.7870 x4  1 Al 2.16

b:
Material: NaAlCl4
Method: DFT, PBE
State: optimized geometry

Computed properties:
V (A^3/atom): 30.305

a b c (Å): 9.8028 9.8028 7.5687
angles (deg): 90.00 90.00 90.00
Closest atoms and distances in Å follow each position.
Space group I4_1/amd (No. 141, origin choice 2)
Asymmetric unit:
Na  0.0000  0.2500  0.3750 x4  8 Cl 2.99-3.25
Al  0.0000  0.2500  0.8750 x4  4 Cl 2.16
Cl  0.0000  0.0760  0.7002 x16  1 Al 2.16

Which one sits at the bottom of the stability order? b does.

a:
Material: Na3AlCl6
Method: DFT, PBE
State: optimized geometry

Computed properties:
V (A^3/atom): 23.050

a b c (Å): 6.6820 7.0490 11.8497
angles (deg): 90.00 124.31 90.00
Closest atoms and distances in Å follow each position.
Space group P2_1/c (No. 14)
Asymmetric unit:
Na  0.0000  0.0000  0.0000 x2  6 Cl 2.77-2.87
Na  0.2771  0.0798  0.7470 x4  6 Cl 2.84-3.07
Al  0.5000  0.0000  0.5000 x2  6 Cl 2.34-2.36
Cl  0.1493  0.0463  0.2776 x4  1 Al 2.36
Cl  0.2769  0.6751  0.0606 x4  1 Al 2.34
Cl  0.4082  0.2191  0.0707 x4  1 Al 2.36

b:
Material: Na3AlCl6
Method: DFT, PBE
State: optimized geometry

Computed properties:
V (A^3/atom): 25.128

a b c (Å): 10.0170 10.0170 10.0170
angles (deg): 90.00 90.00 90.00
Closest atoms and distances in Å follow each position.
Space group Fm-3m (No. 225)
Asymmetric unit:
Na  0.0000  0.0000  0.0000 x4  6 Cl 2.68
Na  0.2500  0.2500  0.2500 x8  12 Cl 3.55
Al  0.0000  0.0000  0.5000 x4  6 Cl 2.33
Cl  0.0000  0.0000  0.2676 x24  1 Al 2.33

Which one sits at the bottom of the stability order? b does.